The following is a PBE calculation of CoNi after structural relaxation, from Alexandria via LeMat-Bulk.

Unit cell a=8.786 b=8.786 c=2.446 alpha=90.00 beta=90.00 gamma=90.00
Site moments in Bohr magnetons follow the coordinates.
Fractional coordinates of all 16 atoms:
Ni 0.666 0.401 0.000  0.72
Co 0.402 0.861 0.000  1.70
Ni 0.166 0.901 0.500  0.72
Ni 0.099 0.166 0.500  0.72
Co 0.361 0.098 0.500  1.70
Co 0.861 0.598 0.000  1.70
Ni 0.834 0.099 0.500  0.72
Co 0.098 0.639 0.500  1.70
Co 0.139 0.402 0.000  1.70
Ni 0.334 0.599 0.000  0.72
Co 0.639 0.902 0.500  1.70
Ni 0.599 0.666 0.000  0.72
Ni 0.901 0.834 0.500  0.72
Ni 0.401 0.334 0.000  0.72
Co 0.598 0.139 0.000  1.70
Co 0.902 0.361 0.500  1.70

Calculated values
- Calculated formation energy: 0.66 eV per formula unit
- Energy: -6.112 eV/atom